# Tb2Pd2Pb, single point on PBEsol structure, DFT SCAN
# spin magnetization = 0.000 μB/cell
# energy of formation = -0.9674 eV/atom
data_Tb2Pd2Pb
_chemical_formula_sum 'Tb4 Pd4 Pb2'
_cell_length_a 7.737
_cell_length_b 7.737
_cell_length_c 3.627
_cell_angle_alpha 90.00
_cell_angle_beta 90.00
_cell_angle_gamma 90.00
_symmetry_space_group_name_H-M 'P 4/m b m'
_symmetry_Int_Tables_number 127
_symmetry_space_group_name_Hall '-P 4 2ab'
loop_
_atom_site_label
_atom_site_type_symbol
_atom_site_fract_x
_atom_site_fract_y
_atom_site_fract_z
_atom_site_occupancy
Tb1 Tb 0.173 0.327 0.000 1
Pd1 Pd 0.126 0.626 0.500 1
Pb1 Pb 0.000 0.000 0.500 1

=====

# CrCdCl, single point on PBEsol structure, DFT SCAN
# energy = -18.948 eV/atom
# spin magnetization = 19.940 μB/cell
data_CrCdCl
_chemical_formula_sum 'Cr4 Cd4 Cl4'
_cell_length_a 6.540
_cell_length_b 6.540
_cell_length_c 6.540
_cell_angle_alpha 90.00
_cell_angle_beta 90.00
_cell_angle_gamma 90.00
_symmetry_space_group_name_H-M 'F -4 3 m'
_symmetry_Int_Tables_number 216
_symmetry_space_group_name_Hall 'F -4 2 3'
loop_
_atom_site_label
_atom_site_type_symbol
_atom_site_fract_x
_atom_site_fract_y
_atom_site_fract_z
_atom_site_occupancy
Cr1 Cr 0.000 0.000 0.000 1
Cd1 Cd 0.250 0.250 0.250 1
Cl1 Cl 0.250 0.250 0.750 1

=====

# CuPt, single point on PBEsol structure, DFT SCAN
# spin magnetization = 0.000 μB/cell
# energy of formation = -0.1067 eV/atom
data_CuPt
_chemical_formula_sum 'Cu4 Pt4'
_cell_length_a 3.749
_cell_length_b 3.749
_cell_length_c 7.598
_cell_angle_alpha 90.00
_cell_angle_beta 90.00
_cell_angle_gamma 90.00
_symmetry_space_group_name_H-M 'I 41/a m d'
_symmetry_Int_Tables_number 141
loop_
_symmetry_equiv_pos_as_xyz
'x,y,z'
'-x,-y,-z'
'-y+1/4,x+3/4,z+1/4'
'y+1/4,-x+3/4,-z+1/4'
'-x+1/2,-y,z+1/2'
'x+1/2,y,-z+1/2'
'y+1/4,-x+1/4,z+3/4'
'-y+1/4,x+1/4,-z+3/4'
'x,-y,-z'
'-x,y,z'
'-y+1/4,-x+1/4,-z+3/4'
'y+1/4,x+1/4,z+3/4'
'-x+1/2,y,-z+1/2'
'x+1/2,-y,z+1/2'
'y+1/4,x+3/4,-z+1/4'
'-y+1/4,-x+3/4,z+1/4'
'x+1/2,y+1/2,z+1/2'
'-x+1/2,-y+1/2,-z+1/2'
'-y+3/4,x+1/4,z+3/4'
'y+3/4,-x+1/4,-z+3/4'
'-x,-y+1/2,z'
'x,y+1/2,-z'
'y+3/4,-x+3/4,z+1/4'
'-y+3/4,x+3/4,-z+1/4'
'x+1/2,-y+1/2,-z+1/2'
'-x+1/2,y+1/2,z+1/2'
'-y+3/4,-x+3/4,-z+1/4'
'y+3/4,x+3/4,z+1/4'
'-x,y+1/2,-z'
'x,-y+1/2,z'
'y+3/4,x+1/4,-z+3/4'
'-y+3/4,-x+1/4,z+3/4'
loop_
_atom_site_label
_atom_site_type_symbol
_atom_site_fract_x
_atom_site_fract_y
_atom_site_fract_z
_atom_site_occupancy
Cu1 Cu 0.000 0.250 0.375 1
Pt1 Pt 0.000 0.250 0.875 1

=====

# CsBaSb, single point on PBEsol structure, DFT SCAN
# energy = -39.122 eV/atom
# spin magnetization = 0.000 μB/cell
data_CsBaSb
_chemical_formula_sum 'Cs4 Ba4 Sb4'
_cell_length_a 9.650
_cell_length_b 5.767
_cell_length_c 10.006
_cell_angle_alpha 90.00
_cell_angle_beta 90.00
_cell_angle_gamma 90.00
_symmetry_space_group_name_H-M 'P n m a'
_symmetry_Int_Tables_number 62
_symmetry_space_group_name_Hall '-P 2ac 2n'
loop_
_atom_site_label
_atom_site_type_symbol
_atom_site_fract_x
_atom_site_fract_y
_atom_site_fract_z
_atom_site_occupancy
Cs1 Cs 0.011 0.250 0.174 1
Ba1 Ba 0.153 0.250 0.584 1
Sb1 Sb 0.205 0.750 0.399 1

=====

# Ba2LiSi, single point on PBEsol structure, DFT SCAN
# energy = -23.161 eV/atom
# spin magnetization = 0.492 μB/cell
data_Ba2LiSi
_chemical_formula_sum 'Ba6 Li3 Si3'
_cell_length_a 4.6574
_cell_length_b 4.6574
_cell_length_c 25.4778
_cell_angle_alpha 90.00
_cell_angle_beta 90.00
_cell_angle_gamma 120.00
_symmetry_space_group_name_H-M 'R 3 m'
_symmetry_Int_Tables_number 160
_symmetry_space_group_name_Hall 'R 3 -2"'
loop_
_atom_site_label
_atom_site_type_symbol
_atom_site_fract_x
_atom_site_fract_y
_atom_site_fract_z
_atom_site_occupancy
Ba1 Ba 0.0000 0.0000 0.0000 1
Ba2 Ba 0.0000 0.0000 0.1595 1
Li1 Li 0.0000 0.0000 0.4131 1
Si1 Si 0.0000 0.0000 0.7469 1

=====

# AlBN2F, single point on PBEsol structure, DFT SCAN
# energy = -6.832 eV/atom
# spin magnetization = 1.695 μB/cell
data_AlBN2F
_chemical_formula_sum 'Al1 B1 N2 F1'
_cell_length_a 3.788
_cell_length_b 3.788
_cell_length_c 3.445
_cell_angle_alpha 90.00
_cell_angle_beta 90.00
_cell_angle_gamma 90.00
_symmetry_space_group_name_H-M 'P 4/m m m'
_symmetry_Int_Tables_number 123
_symmetry_space_group_name_Hall '-P 4 2'
loop_
_atom_site_label
_atom_site_type_symbol
_atom_site_fract_x
_atom_site_fract_y
_atom_site_fract_z
_atom_site_occupancy
Al1 Al 0.000 0.000 0.000 1
B1 B 0.500 0.500 0.500 1
N1 N 0.000 0.500 0.000 1
F1 F 0.000 0.000 0.500 1

=====

# BaTi3Cu, single point on PBEsol structure, DFT SCAN
# spin magnetization = 2.246 μB/cell
# energy of formation = 2.0817 eV/atom
data_BaTi3Cu
_chemical_formula_sum 'Ba1 Ti3 Cu1'
_cell_length_a 4.877
_cell_length_b 4.877
_cell_length_c 4.877
_cell_angle_alpha 90.00
_cell_angle_beta 90.00
_cell_angle_gamma 90.00
_symmetry_space_group_name_H-M 'P m -3 m'
_symmetry_Int_Tables_number 221
_symmetry_space_group_name_Hall '-P 4 2 3'
loop_
_atom_site_label
_atom_site_type_symbol
_atom_site_fract_x
_atom_site_fract_y
_atom_site_fract_z
_atom_site_occupancy
Ba1 Ba 0.000 0.000 0.000 1
Ti1 Ti 0.000 0.000 0.500 1
Cu1 Cu 0.500 0.500 0.500 1

=====

# CuReOs2, single point on PBEsol structure, DFT SCAN
# spin magnetization = 0.000 μB/cell
# energy of formation = 0.5025 eV/atom
data_CuReOs2
_chemical_formula_sum 'Cu2 Re2 Os4'
_cell_length_a 2.777
_cell_length_b 4.529
_cell_length_c 8.926
_cell_angle_alpha 90.00
_cell_angle_beta 90.00
_cell_angle_gamma 90.00
_symmetry_space_group_name_H-M 'C m m m'
_symmetry_Int_Tables_number 65
_symmetry_space_group_name_Hall '-C 2 2'
loop_
_atom_site_label
_atom_site_type_symbol
_atom_site_fract_x
_atom_site_fract_y
_atom_site_fract_z
_atom_site_occupancy
Cu1 Cu 0.000 0.000 0.000 1
Re1 Re 0.000 0.000 0.500 1
Os1 Os 0.000 0.500 0.248 1